No. 1
DFT (PBE-GGA) results for crystalline ScAlAgPt at its relaxed geometry.

```
16
Lattice="6.469 0.000 0.000 0.000 6.469 0.000 0.000 0.000 6.469" Properties=species:S:1:pos:R:3 pbc="T T T"
Sc 0.000 0.000 0.000
Sc 0.000 3.234 3.234
Sc 3.234 0.000 3.234
Sc 3.234 3.234 0.000
Al 1.617 1.617 4.852
Al 1.617 4.852 1.617
Al 4.852 1.617 1.617
Al 4.852 4.852 4.852
Ag 1.617 1.617 1.617
Ag 1.617 4.852 4.852
Ag 4.852 1.617 4.852
Ag 4.852 4.852 1.617
Pt 0.000 0.000 3.234
Pt 0.000 3.234 0.000
Pt 3.234 0.000 0.000
Pt 3.234 3.234 3.234
```

Summary:
Final energy in eV/atom: -5.301
SG: F-43m (216)
Energy relative to the lowest polymorph listed for this composition in eV per atom: 0.193

No. 2
DFT (PBE-GGA) results for crystalline ScAlAgPt at its relaxed geometry.

```
16
Lattice="6.522 0.000 0.000 0.000 6.522 0.000 0.000 0.000 6.522" Properties=species:S:1:pos:R:3 pbc="T T T"
Sc 0.000 0.000 0.000
Sc 0.000 3.261 3.261
Sc 3.261 0.000 3.261
Sc 3.261 3.261 0.000
Al 1.630 1.630 1.630
Al 1.630 4.891 4.891
Al 4.891 1.630 4.891
Al 4.891 4.891 1.630
Ag 0.000 0.000 3.261
Ag 0.000 3.261 0.000
Ag 3.261 0.000 0.000
Ag 3.261 3.261 3.261
Pt 1.630 1.630 4.891
Pt 1.630 4.891 1.630
Pt 4.891 1.630 1.630
Pt 4.891 4.891 4.891
```

Summary:
Final energy in eV/atom: -5.249
SG: F-43m (216)
Energy relative to the lowest polymorph listed for this composition in eV per atom: 0.245

No. 3
DFT (PBE-GGA) results for crystalline ScAlAgPt at its relaxed geometry.

```
16
Lattice="6.475 0.000 0.000 0.000 6.475 0.000 0.000 0.000 6.475" Properties=species:S:1:pos:R:3 pbc="T T T"
Sc 0.000 0.000 0.000
Sc 0.000 3.237 3.237
Sc 3.237 0.000 3.237
Sc 3.237 3.237 0.000
Al 0.000 0.000 3.237
Al 0.000 3.237 0.000
Al 3.237 0.000 0.000
Al 3.237 3.237 3.237
Ag 1.619 1.619 4.856
Ag 1.619 4.856 1.619
Ag 4.856 1.619 1.619
Ag 4.856 4.856 4.856
Pt 1.619 1.619 1.619
Pt 1.619 4.856 4.856
Pt 4.856 1.619 4.856
Pt 4.856 4.856 1.619
```

Summary:
Final energy in eV/atom: -5.494
SG: F-43m (216)
Energy relative to the lowest polymorph listed for this composition in eV per atom: 0.000

No. 4
DFT (PBE-GGA) results for crystalline Sr2Al4AgPt at its relaxed geometry.

```
16
Lattice="7.424 0.000 0.000 0.000 4.300 0.000 0.000 0.000 11.499" Properties=species:S:1:pos:R:3 pbc="T T T"
Sr 0.000 0.000 0.000
Sr 0.000 2.150 5.749
Sr 3.712 0.000 1.193
Sr 3.712 2.150 6.942
Al 1.468 0.000 8.323
Al 1.468 2.150 2.574
Al 2.345 0.000 4.373
Al 2.345 2.150 10.122
Al 5.080 0.000 4.373
Al 5.080 2.150 10.122
Al 5.956 0.000 8.323
Al 5.956 2.150 2.574
Ag 0.000 0.000 3.161
Ag 0.000 2.150 8.910
Pt 3.712 0.000 9.570
Pt 3.712 2.150 3.820
```

Summary:
Final energy in eV/atom: -3.923
SG: Amm2 (38)

No. 5
DFT (PBE-GGA) results for crystalline SrAl5AgPt at its relaxed geometry.

```
16
Lattice="4.141 0.000 0.000 0.000 7.461 0.000 0.000 0.000 10.078" Properties=species:S:1:pos:R:3 pbc="T T T"
Sr 0.000 0.000 0.000
Sr 2.071 3.730 5.039
Al 0.000 1.351 6.585
Al 0.000 1.451 3.600
Al 0.000 3.730 0.008
Al 0.000 6.010 3.600
Al 0.000 6.110 6.585
Al 2.071 0.000 5.047
Al 2.071 2.279 8.639
Al 2.071 2.379 1.546
Al 2.071 5.081 1.546
Al 2.071 5.182 8.639
Ag 0.000 3.730 7.580
Ag 2.071 0.000 2.541
Pt 0.000 3.730 2.440
Pt 2.071 0.000 7.479
```

Summary:
Final energy in eV/atom: -4.157
SG: Imm2 (44)

No. 6
DFT (PBE-GGA) results for crystalline Tb2TmAl3AgPt2 at its relaxed geometry.

```
9
Lattice="3.910 0.000 0.000 0.000 6.344 3.678 0.000 -6.344 3.678" Properties=species:S:1:pos:R:3 pbc="T T T"
Tb 0.000 -3.712 3.678
Tb 0.000 3.712 3.678
Tm 0.000 0.000 4.588
Al 1.955 -1.630 2.490
Al 1.955 1.630 2.490
Al 1.955 0.000 6.983
Ag 0.000 0.000 1.554
Pt 1.955 -2.085 5.202
Pt 1.955 2.085 5.202
```

Summary:
Final energy in eV/atom: -5.309
SG: Amm2 (38)